# Sc2MnCrO6

An optimized crystal structure of Sc2MnCrO6 (PBE with a Hubbard U, Alexandria).

Output
E: -8.24 eV per atom
DOS at the Fermi energy: 0.0 states/eV per cell

Unit cell a=5.201 b=5.209 c=5.508 alpha=61.96 beta=62.10 gamma=60.24
Fractional coordinates of all 10 atoms:
Sc 0.000 0.000 0.000
Sc 0.498 0.504 0.503
Mn 0.791 0.794 0.623
Cr 0.291 0.294 0.126
O 0.072 0.415 0.836
O 0.171 0.913 0.340
O 0.413 0.676 0.838
O 0.578 0.174 0.340
O 0.672 0.079 0.838
O 0.910 0.580 0.337